# KLiOs (PBE, optimized geometry)
# offset from the most stable computed form	219	meV per atom
# energy relative to the elements	0.8596	eV per atom
data_KLiOs
_chemical_formula_sum 'K2 Li2 Os2'
_cell_length_a 4.567
_cell_length_b 3.040
_cell_length_c 8.560
_cell_angle_alpha 90.00
_cell_angle_beta 102.21
_cell_angle_gamma 90.00
_symmetry_space_group_name_H-M 'C 1 m 1'
_symmetry_Int_Tables_number 8
loop_
_symmetry_equiv_pos_as_xyz
'x,y,z'
'x,-y,z'
'x+1/2,y+1/2,z'
'x+1/2,-y+1/2,z'
loop_
_atom_site_label
_atom_site_fract_x
_atom_site_fract_y
_atom_site_fract_z
K1 0.000 0.000 0.000
Li1 0.230 0.000 0.584
Os1 0.130 0.500 0.329

# PbCl2 (PBE, optimized geometry)
# calculated total energy	-42.97	eV for the cell shown
data_PbCl2
_chemical_formula_sum 'Pb4 Cl8'
_cell_length_a 4.320
_cell_length_b 18.534
_cell_length_c 5.747
_cell_angle_alpha 90.00
_cell_angle_beta 90.00
_cell_angle_gamma 90.00
_symmetry_space_group_name_H-M 'C m c m'
_symmetry_Int_Tables_number 63
_symmetry_space_group_name_Hall '-C 2c 2'
loop_
_atom_site_label
_atom_site_fract_x
_atom_site_fract_y
_atom_site_fract_z
Pb1 0.000 0.168 0.250
Cl1 0.000 0.208 0.750
Cl2 0.000 0.425 0.750

# YReCl2 (PBE, optimized geometry)
# offset from the most stable computed form	65	meV per atom
data_YReCl2
_chemical_formula_sum 'Y1 Re1 Cl2'
_cell_length_a 4.231
_cell_length_b 3.281
_cell_length_c 7.362
_cell_angle_alpha 90.00
_cell_angle_beta 106.66
_cell_angle_gamma 90.00
_symmetry_space_group_name_H-M 'P 1 m 1'
_symmetry_Int_Tables_number 6
loop_
_symmetry_equiv_pos_as_xyz
'x,y,z'
'x,-y,z'
loop_
_atom_site_label
_atom_site_fract_x
_atom_site_fract_y
_atom_site_fract_z
Y1 0.000 0.000 0.000
Re1 0.585 0.500 0.171
Cl1 0.412 0.500 0.822
Cl2 0.708 0.000 0.420

# K2Pu3TlO12 (PBE, optimized geometry)
# calculated total energy	-437.16	eV for the cell shown
data_K2Pu3TlO12
_chemical_formula_sum 'K6 Pu9 Tl3 O36'
_cell_length_a 7.9688
_cell_length_b 7.9688
_cell_length_c 17.9316
_cell_angle_alpha 90.00
_cell_angle_beta 90.00
_cell_angle_gamma 120.00
_symmetry_space_group_name_H-M 'R -3 m'
_symmetry_Int_Tables_number 166
_symmetry_space_group_name_Hall '-R 3 2"'
loop_
_atom_site_label
_atom_site_fract_x
_atom_site_fract_y
_atom_site_fract_z
K1 0.0000 0.0000 0.1167
Pu1 0.0000 0.5000 0.0000
Tl1 0.0000 0.0000 0.5000
O1 0.0629 0.5314 0.9006
O2 0.0760 0.5380 0.3126

# PmCd2Cu6 (PBE, optimized geometry)
# energy relative to the elements	0.0574	eV per atom
data_PmCd2Cu6
_chemical_formula_sum 'Pm2 Cd4 Cu12'
_cell_length_a 3.723
_cell_length_b 6.784
_cell_length_c 12.544
_cell_angle_alpha 90.00
_cell_angle_beta 90.00
_cell_angle_gamma 90.00
_symmetry_space_group_name_H-M 'I m m m'
_symmetry_Int_Tables_number 71
_symmetry_space_group_name_Hall '-I 2 2'
loop_
_atom_site_label
_atom_site_fract_x
_atom_site_fract_y
_atom_site_fract_z
Pm1 0.000 0.000 0.000
Cd1 0.000 0.500 0.134
Cu1 0.000 0.178 0.500
Cu2 0.000 0.309 0.318

# Na2GaBPt (PBE, optimized geometry)
# energy relative to the elements	0.1541	eV per atom
data_Na2GaBPt
_chemical_formula_sum 'Na2 Ga1 B1 Pt1'
_cell_length_a 5.082
_cell_length_b 5.082
_cell_length_c 4.000
_cell_angle_alpha 90.00
_cell_angle_beta 90.00
_cell_angle_gamma 90.00
_symmetry_space_group_name_H-M 'P 4/m m m'
_symmetry_Int_Tables_number 123
_symmetry_space_group_name_Hall '-P 4 2'
loop_
_atom_site_label
_atom_site_fract_x
_atom_site_fract_y
_atom_site_fract_z
Na1 0.000 0.500 0.000
Ga1 0.000 0.000 0.500
B1 0.500 0.500 0.000
Pt1 0.500 0.500 0.500

Repeat the third record exactly.
# YReCl2 (PBE, optimized geometry)
# offset from the most stable computed form	65	meV per atom
data_YReCl2
_chemical_formula_sum 'Y1 Re1 Cl2'
_cell_length_a 4.231
_cell_length_b 3.281
_cell_length_c 7.362
_cell_angle_alpha 90.00
_cell_angle_beta 106.66
_cell_angle_gamma 90.00
_symmetry_space_group_name_H-M 'P 1 m 1'
_symmetry_Int_Tables_number 6
loop_
_symmetry_equiv_pos_as_xyz
'x,y,z'
'x,-y,z'
loop_
_atom_site_label
_atom_site_fract_x
_atom_site_fract_y
_atom_site_fract_z
Y1 0.000 0.000 0.000
Re1 0.585 0.500 0.171
Cl1 0.412 0.500 0.822
Cl2 0.708 0.000 0.420